A plane-wave DFT calculation with PBE was carried out for a geometry-optimized MgZn structure.

The total energy comes out at -11.2 eV for the cell shown.

a b c (Å): 5.9366 5.9366 4.7519
angles (deg): 90.00 90.00 120.00
Sites, in units of the cell vectors:
Mg (0.8310, 0.6620, 0.5000)
Mg (0.8310, 0.1690, 0.5000)
Mg (0.0000, 0.0000, 0.0000)
Mg (0.3380, 0.1690, 0.5000)
Zn (0.4982, 0.5018, 0.0000)
Zn (0.0036, 0.5018, 0.0000)
Zn (0.3333, 0.6667, 0.5000)
Zn (0.4982, 0.9964, 0.0000)

A plane-wave DFT calculation with PBE was carried out for a geometry-optimized MgZn structure.

The total energy comes out at -22.7 eV for the cell shown.

a b c (Å): 5.1377 11.5572 4.8029
angles (deg): 90.00 90.00 90.00
Sites, in units of the cell vectors:
Mg (0.8371, 0.1235, 0.5000)
Mg (0.4963, 0.1265, 0.0000)
Mg (0.3152, 0.2515, 0.5000)
Mg (0.4963, 0.6235, 0.0000)
Mg (0.8371, 0.6265, 0.5000)
Mg (0.0181, 0.7515, 0.0000)
Mg (0.0181, 0.9985, 0.0000)
Mg (0.3152, 0.4985, 0.5000)
Zn (0.9845, 0.2554, 0.0000)
Zn (0.5237, 0.8750, 0.0000)
Zn (0.8097, 0.3750, 0.5000)
Zn (0.8413, 0.8750, 0.5000)
Zn (0.9845, 0.4946, 0.0000)
Zn (0.3489, 0.7554, 0.5000)
Zn (0.4920, 0.3750, 0.0000)
Zn (0.3489, 0.9946, 0.5000)

A plane-wave DFT calculation with PBE was carried out for a geometry-optimized MgZn structure.

The total energy comes out at -3.0 eV for the cell shown.

a b c (Å): 3.2899 3.2899 3.2899
angles (deg): 90.00 90.00 90.00
Sites, in units of the cell vectors:
Mg (0.0000, 0.0000, 0.0000)
Zn (0.5000, 0.5000, 0.5000)

A plane-wave DFT calculation with PBE was carried out for a geometry-optimized Mg3Zn structure.

The total energy comes out at -12.1 eV for the cell shown.

a b c (Å): 5.3538 6.1147 4.8822
angles (deg): 90.00 90.00 90.00
Sites, in units of the cell vectors:
Zn (0.9889, 0.0000, 0.0000)
Zn (0.3445, 0.5000, 0.5000)
Mg (0.8341, 0.2495, 0.5000)
Mg (0.8341, 0.7505, 0.5000)
Mg (0.4993, 0.2505, 0.0000)
Mg (0.0198, 0.5000, 0.0000)
Mg (0.3135, 0.0000, 0.5000)
Mg (0.4993, 0.7495, 0.0000)